1.
This record from Alexandria via LeMat-Bulk describes a relaxed structure of SmHoCoBr. The functional is PBE.

Volume: 25.14 Å³/atom
ΔE_f (raw): -0.718 eV/atom
Magnetic moment: 0.0 μB per formula unit

Lattice parameters (Å, degrees): 6.7196 3.8817 8.0311 90.00 106.25 90.00
Last column: nearest neighbours and their distance in Å.
Space group Cm (No. 8)
Inequivalent atoms, fractional coordinates:
Sm1 0.0000 0.0000 0.0000 [2 per cell]  3 Co 2.69
Ho1 0.2075 0.0000 0.6213 [2 per cell]  3 Co 2.65-2.66
Co1 0.1024 0.5000 0.8067 [2 per cell]  3 Ho 2.65-2.66, 3 Sm 2.69
Br1 0.2739 0.5000 0.3224 [2 per cell]  3 Ho 3.21-3.22, 3 Sm 3.35

2.
This record from Alexandria via LeMat-Bulk describes a relaxed structure of Ba3ReTc. The functional is PBE.

Energy of formation: 1.4625 eV/atom
Distance to the lowest polymorph of the same formula: 0.000 eV/atom
Volume: 40.98 Å³/atom
Magnetic moment: 3.6 μB per formula unit

Lattice parameters (Å, degrees): 5.8956 5.8956 5.8956 90.00 90.00 90.00
Last column: nearest neighbours and their distance in Å.
Space group Pm-3m (No. 221)
Inequivalent atoms, fractional coordinates:
Ba1 0.0000 0.0000 0.5000 [3 per cell]  2 Re 2.95
Re1 0.0000 0.0000 0.0000 [1 per cell]  6 Ba 2.95
Tc1 0.5000 0.5000 0.5000 [1 per cell]  12 Ba 4.17